The following is a PBE calculation of a relaxed PuCu3S3 crystal, from Alexandria via LeMat-Bulk.

Unit cell a=8.1724 b=8.1724 c=3.9059 alpha=90.00 beta=90.00 gamma=120.00
Last column: nearest neighbours and their distance in Å.
Atoms (fractional coordinates):
Pu 0.3333 0.6667 0.2500  9 S 2.89-3.13
Pu 0.6667 0.3333 0.7500  9 S 2.89-3.13
Cu 0.0081 0.8024 0.2500  3 S 2.36-2.40, 4 Cu 2.56
Cu 0.1976 0.2058 0.2500  3 S 2.36-2.40, 4 Cu 2.56
Cu 0.2058 0.0081 0.7500  3 S 2.36-2.40, 4 Cu 2.56
Cu 0.7942 0.9919 0.2500  3 S 2.36-2.40, 4 Cu 2.56
Cu 0.8024 0.7942 0.7500  3 S 2.36-2.40, 4 Cu 2.56
Cu 0.9919 0.1976 0.7500  3 S 2.36-2.40, 4 Cu 2.56
S 0.0789 0.6782 0.7500  3 Cu 2.36-2.40
S 0.3219 0.4007 0.7500  3 Cu 2.36-2.40
S 0.4007 0.0789 0.2500  3 Cu 2.36-2.40
S 0.5993 0.9211 0.7500  3 Cu 2.36-2.40
S 0.6782 0.5993 0.2500  3 Cu 2.36-2.40
S 0.9211 0.3219 0.2500  3 Cu 2.36-2.40

Space-group type = P6_3/m
Size of the total moment = 0.686 μB per atom
Calculated volume = 225.9 Å³ per cell
Polymorph energy (0 for the lowest one) = 90 meV per atom
Uncorrected formation energy = -0.629 eV/atom